The following is a PBE calculation of a relaxed structure of CsInNF2, from Alexandria.

Results
total moment = 2.0 μB/cell
symmetry = P4/mmm (123)
formation energy without anion corrections = -0.126 eV per atom
energy above the lowest structure with this stoichiometry = 1129 meV per atom

Lattice parameters (Å, degrees): 5.4062 5.4062 4.9879 90.00 90.00 90.00
Last column: magnetic moment on the atom in μB.
Fractional coordinates of all 5 atoms:
Cs 0.0000 0.0000 0.0000  0.03
N 0.0000 0.0000 0.5000  1.19
F 0.0000 0.5000 0.0000  0.05
F 0.5000 0.0000 0.0000  0.05
In 0.5000 0.5000 0.5000  0.01